Record 1
A relaxed structure of BaAlHg3, computed with PBE.

The structure belongs to space group Pm-3m (No. 221); the cell edges are 5.322, 5.322 and 5.322 Å and the angles 90.00°, 90.00° and 90.00°. The distinct sites, in fractional coordinates, are Ba at (0.000, 0.000, 0.000), Al at (0.500, 0.500, 0.500) and Hg at (0.000, 0.500, 0.500).

The density of states at the Fermi level is 3.7 states/eV/cell. Its energy of formation from the pure elements is -0.25 eV per atom. Its total energy is -7.80 eV/cell. The total magnetic moment comes out at 0.00 μB/atom.

***

Record 2
A relaxed structure of Ac3Zn4Pd4, computed with PBE.

The structure belongs to space group P-1 (No. 2); the cell edges are 4.205, 4.461 and 13.849 Å and the angles 81.05°, 81.33° and 89.98°. The distinct sites, in fractional coordinates, are Ac at (0.000, 0.000, 0.000), Ac at (0.148, 0.648, 0.704), Zn at (0.251, 0.254, 0.497), Zn at (0.401, 0.900, 0.198), Pd at (0.305, 0.806, 0.391) and Pd at (0.448, 0.446, 0.103).

The density of states at the Fermi level is 6.3 states/eV/cell. Its energy of formation from the pure elements is -0.65 eV per atom. Its total energy is -45.40 eV/cell. The total magnetic moment comes out at 0.00 μB/atom.

***

Record 3
A relaxed structure of Sm2SiBPt6, computed with PBE.

The structure belongs to space group Pmmn (No. 59, origin choice 2); the cell edges are 5.727, 8.631 and 7.253 Å and the angles 90.00°, 90.00° and 90.00°. The distinct sites, in fractional coordinates, are Sm at (0.250, 0.032, 0.220), Si at (0.250, 0.750, 0.804), B at (0.250, 0.250, 0.709), Pt at (0.000, 0.250, 0.928), Pt at (0.010, 0.750, 0.499) and Pt at (0.250, 0.002, 0.655).

The density of states at the Fermi level is 6.2 states/eV/cell. Its total energy is -134.45 eV/cell. As for the formation energy without anion corrections: -0.94 eV per atom. The total magnetic moment comes out at 0.00 μB/atom.